Density functional theory data (PBE-GGA) for a geometry-optimized CsBe2CdCl8 structure.

Geometry as POSCAR:
```
CsBe2CdCl8
1.0
6.293 0.000 0.000
3.147 5.450 0.000
3.147 1.817 9.479
Cl Cs Cd Be
8 1 1 2
direct
0.281 0.969 0.163
0.587 0.281 0.163
0.969 0.587 0.163
0.813 0.813 0.562
0.187 0.187 0.438
0.413 0.719 0.837
0.719 0.031 0.837
0.031 0.413 0.837
0.500 0.500 0.500
0.000 0.000 0.000
0.742 0.742 0.775
0.258 0.258 0.225
```

Output
**E_form (uncorrected)**: -121 kJ/mol of atoms
**N(E_F)**: 17.43 states/eV per cell
**Density**: 2.79 g/cm3
**Crystal system**: trigonal
**Space group**: No. 148

Density functional theory data (PBE-GGA) for a geometry-optimized BeCdCl2F structure.

Geometry as POSCAR:
```
BeCdCl2F
1.0
-5.165 -2.334 0.218
0.112 -0.527 -2.992
2.335 -5.076 0.982
Be F Cd Cl
1 1 1 2
direct
0.000 0.500 0.000
0.000 0.000 0.000
0.500 0.500 0.500
0.000 0.000 0.500
0.500 0.000 0.000
```

Output
**E_form (uncorrected)**: -88 kJ/mol of atoms
**N(E_F)**: 1.02 states/eV per cell
**Density**: 3.59 g/cm3
**Crystal system**: tetragonal
**Space group**: No. 123

Density functional theory data (PBE-GGA) for a geometry-optimized BeCdFeCl2 structure.

Geometry as POSCAR:
```
BeCdFeCl2
1.0
5.277 0.000 0.000
0.000 4.936 0.000
0.000 0.000 5.277
Cl Fe Be Cd
2 1 1 1
direct
0.000 0.000 0.500
0.500 0.000 0.000
0.500 0.500 0.500
0.000 0.500 0.000
0.000 0.000 0.000
```

Output
**E_form (uncorrected)**: 82 kJ/mol of atoms
**N(E_F)**: 5.83 states/eV per cell
**Density**: 3.00 g/cm3
**Crystal system**: tetragonal
**Space group**: No. 123

Density functional theory data (PBE-GGA) for a geometry-optimized Be2CdGeCl structure.

Geometry as POSCAR:
```
Be2CdGeCl
1.0
-0.896 -4.447 0.441
4.460 -0.861 0.374
-0.330 0.591 5.297
Be Ge Cl Cd
2 1 1 1
direct
0.000 0.500 0.000
0.500 0.000 0.000
0.000 0.000 0.500
0.500 0.500 0.500
0.000 0.000 0.000
```

Output
**E_form (uncorrected)**: 78 kJ/mol of atoms
**N(E_F)**: 1.90 states/eV per cell
**Density**: 3.57 g/cm3
**Crystal system**: tetragonal
**Space group**: No. 123

Density functional theory data (PBE-GGA) for a geometry-optimized BeCdH2Cl structure.

Geometry as POSCAR:
```
BeCdH2Cl
1.0
3.787 0.000 0.000
0.000 4.667 0.000
0.000 0.000 3.787
H Be Cd Cl
2 1 1 1
direct
0.000 0.000 0.500
0.500 0.000 0.000
0.000 0.000 0.000
0.500 0.500 0.500
0.000 0.500 0.000
```

Output
**N(E_F)**: 1.03 states/eV per cell
**Density**: 3.94 g/cm3
**Crystal system**: tetragonal
**Electronic total energy**: -2.344 eV per atom
**Space group**: No. 123

Density functional theory data (PBE-GGA) for a geometry-optimized KBeCdCl5 structure.

Geometry as POSCAR:
```
KBeCdCl5
1.0
-6.592 1.170 2.656
1.367 -6.972 1.181
5.533 4.347 5.857
Cl Be Cd K
10 2 2 2
direct
0.586 0.755 0.921
0.674 0.098 0.364
0.098 0.674 0.864
0.910 0.090 0.750
0.326 0.902 0.636
0.245 0.414 0.579
0.414 0.245 0.079
0.755 0.586 0.421
0.902 0.326 0.136
0.090 0.910 0.250
0.312 0.688 0.750
0.688 0.312 0.250
0.000 0.000 0.500
0.000 0.000 0.000
0.645 0.355 0.750
0.355 0.645 0.250
```

Output
**E_form (uncorrected)**: -138 kJ/mol of atoms
**N(E_F)**: 0.00 states/eV per cell
**Density**: 2.67 g/cm3
**Crystal system**: monoclinic
**Space group**: No. 15

Density functional theory data (PBE-GGA) for a geometry-optimized MnBeCd2Cl structure.

Geometry as POSCAR:
```
MnBeCd2Cl
1.0
-4.167 2.590 0.157
-2.337 -3.816 0.933
0.660 0.770 4.803
Cl Cd Mn Be
1 2 1 1
direct
0.000 0.500 0.000
0.000 0.000 0.500
0.500 0.000 0.000
0.500 0.500 0.500
0.000 0.000 0.000
```

Output
**E_form (uncorrected)**: 51 kJ/mol of atoms
**N(E_F)**: 3.72 states/eV per cell
**Density**: 4.89 g/cm3
**Crystal system**: tetragonal
**Space group**: No. 123

Density functional theory data (PBE-GGA) for a geometry-optimized Mn2BeCdCl structure.

Geometry as POSCAR:
```
Mn2BeCdCl
1.0
-2.689 -3.958 2.092
0.917 -2.517 -3.585
4.347 -1.726 2.323
Cl Be Mn Cd
1 1 2 1
direct
0.500 0.500 0.500
0.000 0.500 0.000
0.000 0.000 0.500
0.500 0.000 0.000
0.000 0.000 0.000
```

Output
**E_form (uncorrected)**: 89 kJ/mol of atoms
**N(E_F)**: 1.90 states/eV per cell
**Density**: 3.63 g/cm3
**Crystal system**: tetragonal
**Space group**: No. 123

Density functional theory data (PBE-GGA) for a geometry-optimized BeCd2ClO structure.

Geometry as POSCAR:
```
BeCd2ClO
1.0
6.436 0.000 0.000
0.000 2.869 0.000
0.000 0.000 6.436
Cd Cl Be O
2 1 1 1
direct
0.500 0.000 0.000
0.000 0.000 0.500
0.500 0.500 0.500
0.000 0.500 0.000
0.000 0.000 0.000
```

Output
**E_form (uncorrected)**: -76 kJ/mol of atoms
**N(E_F)**: 1.52 states/eV per cell
**Density**: 3.99 g/cm3
**Crystal system**: tetragonal
**Space group**: No. 123

Density functional theory data (PBE-GGA) for a geometry-optimized BeCd2OsCl structure.

Geometry as POSCAR:
```
BeCd2OsCl
1.0
4.886 0.000 0.000
0.000 4.125 0.000
0.000 0.000 4.886
Cd Be Os Cl
2 1 1 1
direct
0.500 0.000 0.000
0.000 0.000 0.500
0.000 0.000 0.000
0.000 0.500 0.000
0.500 0.500 0.500
```

Output
**E_form (uncorrected)**: 63 kJ/mol of atoms
**N(E_F)**: 2.22 states/eV per cell
**Density**: 7.75 g/cm3
**Crystal system**: tetragonal
**Space group**: No. 123

Density functional theory data (PBE-GGA) for a geometry-optimized BeCdPCl2 structure.

Geometry as POSCAR:
```
BeCdPCl2
1.0
5.137 0.000 0.000
0.000 5.137 0.000
0.000 0.000 5.267
Cl Be P Cd
2 1 1 1
direct
0.500 0.000 0.000
0.000 0.500 0.000
0.500 0.500 0.500
0.000 0.000 0.500
0.000 0.000 0.000
```

Output
**E_form (uncorrected)**: 65 kJ/mol of atoms
**N(E_F)**: 1.95 states/eV per cell
**Density**: 2.67 g/cm3
**Crystal system**: tetragonal
**Space group**: No. 123

Density functional theory data (PBE-GGA) for a geometry-optimized BeCdPCl2 structure.

Geometry as POSCAR:
```
BeCdPCl2
1.0
4.202 0.000 0.000
0.000 4.202 0.000
0.000 0.000 5.714
Cl P Be Cd
2 1 1 1
direct
0.500 0.000 0.000
0.000 0.500 0.000
0.000 0.000 0.500
0.000 0.000 0.000
0.500 0.500 0.500
```

Output
**E_form (uncorrected)**: -9 kJ/mol of atoms
**N(E_F)**: 1.65 states/eV per cell
**Density**: 3.67 g/cm3
**Crystal system**: tetragonal
**Space group**: No. 123

> The highest density belongs to which entry?

BeCd2OsCl

> What is the density in the first record?

2.79 g/cm3

> What is the formula in the eighth record?

Mn2BeCdCl

> Which value of N(E_F) does entry 8 give?

1.90 states/eV per cell